# 1
VASP calculation (PBE) on a relaxed structure of Th3Al2Zn7.

Structure (CIF):
```
data_Th3Al2Zn7
_cell_length_a 4.246
_cell_length_b 4.246
_cell_length_c 28.708
_cell_angle_alpha 90.00
_cell_angle_beta 90.00
_cell_angle_gamma 90.00
_symmetry_space_group_name_H-M 'I 4/m m m'
_symmetry_Int_Tables_number 139
_symmetry_space_group_name_Hall '-I 4 2'
loop_
_atom_site_label
_atom_site_fract_x
_atom_site_fract_y
_atom_site_fract_z
Th1 0.000 0.000 0.000
Th2 0.000 0.000 0.168
Al1 0.000 0.000 0.365
Zn1 0.000 0.000 0.275
Zn2 0.000 0.000 0.500
Zn3 0.000 0.500 0.081
```

## Properties
energy relative to the elements = -0.11 eV/atom
ρ = 7.8 g/cm3
volume = 517.6 Å³/cell
M_tot = 0.0 μB per formula unit

# 2
VASP calculation (PBE) on a relaxed structure of ZrUGa2.

Structure (CIF):
```
data_ZrUGa2
_cell_length_a 3.0382
_cell_length_b 3.0382
_cell_length_c 29.8906
_cell_angle_alpha 90.00
_cell_angle_beta 90.00
_cell_angle_gamma 120.00
_symmetry_space_group_name_H-M 'R -3 m'
_symmetry_Int_Tables_number 166
_symmetry_space_group_name_Hall '-R 3 2"'
loop_
_atom_site_label
_atom_site_fract_x
_atom_site_fract_y
_atom_site_fract_z
Zr1 0.0000 0.0000 0.0000
U1 0.0000 0.0000 0.5000
Ga1 0.0000 0.0000 0.2531
```

## Properties
excess energy over the best structure of this formula in the dataset = 52 kJ/mol of formula units
energy relative to the elements = -0.16 eV/atom
ρ = 9.8 g/cm3
volume = 238.9 Å³/cell
M_tot = 1.3 μB per formula unit

# 3
VASP calculation (PBE) on a relaxed structure of TbYZnGe.

Structure (CIF):
```
data_TbYZnGe
_cell_length_a 4.118
_cell_length_b 4.209
_cell_length_c 10.922
_cell_angle_alpha 90.00
_cell_angle_beta 90.00
_cell_angle_gamma 90.00
_symmetry_space_group_name_H-M 'A m m 2'
_symmetry_Int_Tables_number 38
loop_
_symmetry_equiv_pos_as_xyz
'x,y,z'
'-x,-y,z'
'-x,y,z'
'x,-y,z'
'x,y+1/2,z+1/2'
'-x,-y+1/2,z+1/2'
'-x,y+1/2,z+1/2'
'x,-y+1/2,z+1/2'
loop_
_atom_site_label
_atom_site_fract_x
_atom_site_fract_y
_atom_site_fract_z
Tb1 0.000 0.000 0.000
Y1 0.500 0.000 0.282
Zn1 0.500 0.000 0.567
Ge1 0.000 0.000 0.718
```

## Properties
excess energy over the best structure of this formula in the dataset = 0 kJ/mol of formula units
energy relative to the elements = -0.64 eV/atom
ρ = 6.8 g/cm3
volume = 189.3 Å³/cell
M_tot = 0.4 μB per formula unit

# 4
VASP calculation (PBE) on a relaxed structure of CrIn2Ga.

Structure (CIF):
```
data_CrIn2Ga
_cell_length_a 8.746
_cell_length_b 8.746
_cell_length_c 5.201
_cell_angle_alpha 90.00
_cell_angle_beta 90.00
_cell_angle_gamma 90.00
_symmetry_space_group_name_H-M 'I -4 2 d'
_symmetry_Int_Tables_number 122
_symmetry_space_group_name_Hall 'I -4 2bw'
loop_
_atom_site_label
_atom_site_fract_x
_atom_site_fract_y
_atom_site_fract_z
Cr1 0.000 0.000 0.000
In1 0.176 0.250 0.125
Ga1 0.000 0.000 0.500
```

## Properties
energy relative to the elements = 0.47 eV/atom
ρ = 5.9 g/cm3
volume = 397.9 Å³/cell
M_tot = 3.6 μB per formula unit

# 5
VASP calculation (PBE) on a relaxed structure of Li3PuCd2O6.

Structure (CIF):
```
data_Li3PuCd2O6
_cell_length_a 5.663
_cell_length_b 9.825
_cell_length_c 5.499
_cell_angle_alpha 90.00
_cell_angle_beta 110.21
_cell_angle_gamma 90.00
_symmetry_space_group_name_H-M 'C 1 2/m 1'
_symmetry_Int_Tables_number 12
loop_
_symmetry_equiv_pos_as_xyz
'x,y,z'
'-x,-y,-z'
'-x,y,-z'
'x,-y,z'
'x+1/2,y+1/2,z'
'-x+1/2,-y+1/2,-z'
'-x+1/2,y+1/2,-z'
'x+1/2,-y+1/2,z'
loop_
_atom_site_label
_atom_site_fract_x
_atom_site_fract_y
_atom_site_fract_z
Li1 0.000 0.000 0.000
Li2 0.000 0.339 0.000
Pu1 0.000 0.500 0.500
Cd1 0.000 0.168 0.500
O1 0.225 0.500 0.255
O2 0.236 0.347 0.753
```

## Properties
ρ = 6.8 g/cm3
volume = 287.1 Å³/cell
M_tot = 3.0 μB per formula unit
formation energy without anion corrections = -22.3 eV per formula unit

# 6
VASP calculation (PBE) on a relaxed structure of Sr2MgTlNi.

Structure (CIF):
```
data_Sr2MgTlNi
_cell_length_a 6.320
_cell_length_b 6.320
_cell_length_c 4.817
_cell_angle_alpha 90.00
_cell_angle_beta 90.00
_cell_angle_gamma 90.00
_symmetry_space_group_name_H-M 'P 4/m m m'
_symmetry_Int_Tables_number 123
_symmetry_space_group_name_Hall '-P 4 2'
loop_
_atom_site_label
_atom_site_fract_x
_atom_site_fract_y
_atom_site_fract_z
Sr1 0.000 0.500 0.000
Mg1 0.000 0.000 0.500
Tl1 0.500 0.500 0.000
Ni1 0.500 0.500 0.500
```

## Properties
excess energy over the best structure of this formula in the dataset = 177 kJ/mol of formula units
energy relative to the elements = 0.30 eV/atom
ρ = 4.0 g/cm3
volume = 192.4 Å³/cell
M_tot = 0.0 μB per formula unit

# 7
VASP calculation (PBE) on a relaxed structure of Ba2HN.

Structure (CIF):
```
data_Ba2HN
_cell_length_a 6.146
_cell_length_b 6.146
_cell_length_c 12.272
_cell_angle_alpha 90.00
_cell_angle_beta 90.00
_cell_angle_gamma 90.00
_symmetry_space_group_name_H-M 'I -4 2 d'
_symmetry_Int_Tables_number 122
_symmetry_space_group_name_Hall 'I -4 2bw'
loop_
_atom_site_label
_atom_site_fract_x
_atom_site_fract_y
_atom_site_fract_z
Ba1 0.230 0.250 0.125
H1 0.000 0.000 0.500
N1 0.000 0.000 0.000
```

## Properties
energy = -17.10 eV/f.u.
ρ = 4.2 g/cm3
volume = 463.5 Å³/cell
M_tot = 0.0 μB per formula unit

# 8
VASP calculation (PBE) on a relaxed structure of Hf2ThPa.

Structure (CIF):
```
data_Hf2ThPa
_cell_length_a 3.863
_cell_length_b 3.863
_cell_length_c 7.028
_cell_angle_alpha 90.00
_cell_angle_beta 90.00
_cell_angle_gamma 90.00
_symmetry_space_group_name_H-M 'P 4/m m m'
_symmetry_Int_Tables_number 123
_symmetry_space_group_name_Hall '-P 4 2'
loop_
_atom_site_label
_atom_site_fract_x
_atom_site_fract_y
_atom_site_fract_z
Hf1 0.000 0.000 0.211
Th1 0.500 0.500 0.500
Pa1 0.500 0.500 0.000
```

## Properties
excess energy over the best structure of this formula in the dataset = 1 kJ/mol of formula units
energy relative to the elements = 0.20 eV/atom
ρ = 13.0 g/cm3
volume = 104.9 Å³/cell
M_tot = 0.0 μB per formula unit

Q: Which of these has the highest M_tot?
A: CrIn2Ga

Repeat the seventh record exactly.
VASP calculation (PBE) on a relaxed structure of Ba2HN.

Structure (CIF):
```
data_Ba2HN
_cell_length_a 6.146
_cell_length_b 6.146
_cell_length_c 12.272
_cell_angle_alpha 90.00
_cell_angle_beta 90.00
_cell_angle_gamma 90.00
_symmetry_space_group_name_H-M 'I -4 2 d'
_symmetry_Int_Tables_number 122
_symmetry_space_group_name_Hall 'I -4 2bw'
loop_
_atom_site_label
_atom_site_fract_x
_atom_site_fract_y
_atom_site_fract_z
Ba1 0.230 0.250 0.125
H1 0.000 0.000 0.500
N1 0.000 0.000 0.000
```

## Properties
energy = -17.10 eV/f.u.
ρ = 4.2 g/cm3
volume = 463.5 Å³/cell
M_tot = 0.0 μB per formula unit